RbTaTc3 | PBEsol | optimized geometry

a = 4.8631 Å, b = 4.8631 Å, c = 4.8631 Å
α = 90.00°, β = 90.00°, γ = 90.00°
Closest atoms and distances in Å follow each position.
Sites, in units of the cell vectors:
Rb (0.0000, 0.0000, 0.0000)  12 Tc 3.44
Ta (0.5000, 0.5000, 0.5000)  6 Tc 2.43
Tc (0.0000, 0.5000, 0.5000)  2 Ta 2.43
Tc (0.5000, 0.0000, 0.5000)  2 Ta 2.43
Tc (0.5000, 0.5000, 0.0000)  2 Ta 2.43

Properties
DOS at the Fermi energy = 5.75 states/eV/cell
energy of formation = 9.78 eV/f.u.